1.
A relaxed structure of ScAl4Sn. Source: Alexandria, functional GGA-PBE.

```
ScAl4Sn
1.0
0.000 3.848 3.848
3.848 0.000 3.848
3.848 3.848 0.000
Sc Al Sn
1 4 1
direct
0.000 0.000 0.000
0.374 0.374 0.374
0.374 0.374 0.877
0.374 0.877 0.374
0.877 0.374 0.374
0.750 0.750 0.750
```

Results
SG ... No. 216
Calculated formation energy ... -0.1629 eV per atom
Raw total energy ... -4.3804 eV/atom



2.
A relaxed structure of Sc8AlSn2. Source: Alexandria, functional GGA-PBE.

```
Sc8AlSn2
1.0
4.029 -6.941 0.000
4.029 6.941 0.000
-2.371 0.000 4.651
Sc Al Sn
8 1 2
direct
0.100 0.324 0.639
0.208 0.792 0.000
0.324 0.100 0.639
0.399 0.399 0.204
0.601 0.601 0.796
0.676 0.900 0.361
0.792 0.208 0.000
0.900 0.676 0.361
0.000 0.000 0.000
0.305 0.695 0.500
0.695 0.305 0.500
```

Results
SG ... No. 12
Calculated formation energy ... -0.2333 eV per atom
Raw total energy ... -5.9061 eV/atom



3.
A relaxed structure of Sc2AlSn. Source: Alexandria, functional GGA-PBE.

```
Sc2AlSn
1.0
-3.875 3.875 3.083
3.875 -3.875 3.083
3.875 3.875 -3.083
Sc Al Sn
4 2 2
direct
0.117 0.125 0.492
0.375 0.883 0.008
0.633 0.625 0.508
0.875 0.367 0.992
0.000 0.000 0.000
0.750 0.250 0.500
0.250 0.750 0.500
0.500 0.500 0.000
```

Results
SG ... No. 122
Calculated formation energy ... -0.1265 eV per atom
Raw total energy ... -5.2286 eV/atom



4.
A relaxed structure of Sc2AlSn. Source: Alexandria, functional GGA-PBE.

```
Sc2AlSn
1.0
1.653 0.955 10.233
-1.653 0.955 10.233
0.000 -1.909 10.233
Sc Al Sn
2 1 1
direct
0.096 0.096 0.096
0.904 0.904 0.904
0.500 0.500 0.500
0.000 0.000 0.000
```

Results
SG ... No. 166
Calculated formation energy ... -0.0675 eV per atom
Raw total energy ... -5.1696 eV/atom